[1]
Tb12BiPd6 | Alexandria via LeMat-Bulk | GGA-PBE | relaxed; formation energy from the elements = -12.1 eV per formula unit; mass density = 9.0 g/cm³; space group = No. 204
1.0
8.2163 0.0000 -2.9049
-4.1082 7.1155 -2.9049
0.0000 0.0000 8.7147
Tb Pd Bi
12 6 1
direct
0.3006 0.4860 0.1855
0.3006 0.1151 0.8145
0.8145 0.3006 0.1151
0.8145 0.6994 0.5140
0.6994 0.8849 0.1855
0.4860 0.1855 0.3006
0.8849 0.1855 0.6994
0.6994 0.5140 0.8145
0.5140 0.8145 0.6994
0.1855 0.6994 0.8849
0.1151 0.8145 0.3006
0.1855 0.3006 0.4860
0.8644 0.3644 0.5000
0.1356 0.6356 0.5000
0.5000 0.8644 0.3644
0.6356 0.5000 0.1356
0.3644 0.5000 0.8644
0.5000 0.1356 0.6356
0.0000 0.0000 0.0000

[2]
PmCdRh2 | Alexandria via LeMat-Bulk | GGA-PBE | relaxed; formation energy from the elements = -2.1 eV per formula unit; mass density = 10.2 g/cm³; space group = No. 123; energy above the lowest structure with this stoichiometry = 0.0000 eV/atom
1.0
3.7095 0.0000 0.0000
0.0000 4.5027 0.0000
0.0000 0.0000 4.5027
Cd Rh Pm
1 2 1
direct
0.5000 0.0000 0.0000
0.0000 0.0000 0.5000
0.0000 0.5000 0.0000
0.5000 0.5000 0.5000